Version w
Compound: Tb2Ho3Al
Source: Alexandria via LeMat-Bulk
Functional: PBE-GGA
Structure: relaxed

SG = Cmmm (65)
DOS(E_F) = 7.22 states/eV/cell
ρ = 8.2 Mg/m³

Cell and atoms, written as CIF:
```
data_Tb2Ho3Al
_space_group_name_H-M_alt 'P 1'
_space_group_IT_number 1
_cell_length_a 4.815
_cell_length_b 4.786
_cell_length_c 7.795
_cell_angle_alpha 107.88
_cell_angle_beta 90.00
_cell_angle_gamma 90.00
loop_
_space_group_symop_operation_xyz
'x,y,z'
loop_
_atom_site_label
_atom_site_type_symbol
_atom_site_fract_x
_atom_site_fract_y
_atom_site_fract_z
_atom_site_occupancy
Tb1 Tb 0.000 0.659 0.319 1
Ho1 Ho 0.500 0.164 0.329 1
Ho2 Ho 0.500 0.836 0.671 1
Ho3 Ho 0.500 0.500 0.000 1
Tb2 Tb 0.000 0.341 0.681 1
Al1 Al 0.000 0.000 0.000 1
```



Version x
Compound: Tb2Ho3Al
Source: Alexandria via LeMat-Bulk
Functional: PBE-GGA
Structure: relaxed

SG = Pmc2_1 (26)
DOS(E_F) = 15.50 states/eV/cell
ρ = 8.0 Mg/m³

Cell and atoms, written as CIF:
```
data_Tb2Ho3Al
_space_group_name_H-M_alt 'P 1'
_space_group_IT_number 1
_cell_length_a 5.291
_cell_length_b 6.463
_cell_length_c 10.169
_cell_angle_alpha 90.00
_cell_angle_beta 90.00
_cell_angle_gamma 90.00
loop_
_space_group_symop_operation_xyz
'x,y,z'
loop_
_atom_site_label
_atom_site_type_symbol
_atom_site_fract_x
_atom_site_fract_y
_atom_site_fract_z
_atom_site_occupancy
Tb1 Tb 0.000 0.442 0.803 1
Tb2 Tb 0.000 0.942 0.197 1
Ho1 Ho 0.000 0.905 0.569 1
Ho2 Ho 0.500 0.086 0.731 1
Ho3 Ho 0.500 0.715 0.957 1
Ho4 Ho 0.000 0.405 0.431 1
Ho5 Ho 0.500 0.586 0.269 1
Tb3 Tb 0.500 0.589 0.605 1
Tb4 Tb 0.500 0.089 0.395 1
Al1 Al 0.000 0.465 0.116 1
Al2 Al 0.000 0.965 0.884 1
Ho6 Ho 0.500 0.215 0.043 1
```



Most stable of them? version w.



Version w
Compound: TbHo3Al2
Source: Alexandria via LeMat-Bulk
Functional: PBE-GGA
Structure: relaxed

SG = Immm (71)
DOS(E_F) = 7.72 states/eV/cell
ρ = 7.2 Mg/m³

Cell and atoms, written as CIF:
```
data_TbHo3Al2
_space_group_name_H-M_alt 'P 1'
_space_group_IT_number 1
_cell_length_a 3.293
_cell_length_b 5.479
_cell_length_c 9.626
_cell_angle_alpha 106.53
_cell_angle_beta 99.85
_cell_angle_gamma 90.00
loop_
_space_group_symop_operation_xyz
'x,y,z'
loop_
_atom_site_label
_atom_site_type_symbol
_atom_site_fract_x
_atom_site_fract_y
_atom_site_fract_z
_atom_site_occupancy
Al1 Al 0.357 0.357 0.714 1
Ho1 Ho 0.190 0.190 0.380 1
Al2 Al 0.643 0.643 0.286 1
Ho2 Ho 0.810 0.810 0.620 1
Ho3 Ho 0.000 0.500 0.000 1
Tb1 Tb 0.000 0.000 0.000 1
```



Version x
Compound: TbHo3Al2
Source: Alexandria via LeMat-Bulk
Functional: PBE-GGA
Structure: relaxed

SG = Pmc2_1 (26)
DOS(E_F) = 9.44 states/eV/cell
ρ = 7.5 Mg/m³

Cell and atoms, written as CIF:
```
data_TbHo3Al2
_space_group_name_H-M_alt 'P 1'
_space_group_IT_number 1
_cell_length_a 5.085
_cell_length_b 6.537
_cell_length_c 9.455
_cell_angle_alpha 90.00
_cell_angle_beta 90.00
_cell_angle_gamma 90.00
loop_
_space_group_symop_operation_xyz
'x,y,z'
loop_
_atom_site_label
_atom_site_type_symbol
_atom_site_fract_x
_atom_site_fract_y
_atom_site_fract_z
_atom_site_occupancy
Al1 Al 0.500 0.707 0.854 1
Al2 Al 0.000 0.292 0.647 1
Tb1 Tb 0.500 0.029 0.459 1
Al3 Al 0.500 0.207 0.146 1
Ho1 Ho 0.000 0.815 0.679 1
Ho2 Ho 0.000 0.971 0.042 1
Ho3 Ho 0.000 0.315 0.321 1
Ho4 Ho 0.500 0.185 0.823 1
Ho5 Ho 0.000 0.471 0.958 1
Al4 Al 0.000 0.792 0.353 1
Ho6 Ho 0.500 0.685 0.177 1
Tb2 Tb 0.500 0.529 0.541 1
```



Most stable of them? version x.



Version w
Compound: Tb4Ho5Al
Source: Alexandria via LeMat-Bulk
Functional: PBE-GGA
Structure: relaxed

SG = P4/mmm (123)
DOS(E_F) = 13.57 states/eV/cell
ρ = 8.3 Mg/m³

Cell and atoms, written as CIF:
```
data_Tb4Ho5Al
_space_group_name_H-M_alt 'P 1'
_space_group_IT_number 1
_cell_length_a 3.529
_cell_length_b 3.530
_cell_length_c 24.012
_cell_angle_alpha 90.00
_cell_angle_beta 90.00
_cell_angle_gamma 90.00
loop_
_space_group_symop_operation_xyz
'x,y,z'
loop_
_atom_site_label
_atom_site_type_symbol
_atom_site_fract_x
_atom_site_fract_y
_atom_site_fract_z
_atom_site_occupancy
Ho1 Ho 0.500 0.500 0.500 1
Al1 Al 0.000 0.000 0.000 1
Tb1 Tb 0.000 0.000 0.815 1
Ho2 Ho 0.500 0.500 0.921 1
Tb2 Tb 0.000 0.000 0.395 1
Ho3 Ho 0.500 0.500 0.710 1
Ho4 Ho 0.500 0.500 0.290 1
Tb3 Tb 0.000 0.000 0.185 1
Tb4 Tb 0.000 0.000 0.605 1
Ho5 Ho 0.500 0.500 0.079 1
```



Version x
Compound: Tb4Ho5Al
Source: Alexandria via LeMat-Bulk
Functional: PBE-GGA
Structure: relaxed

SG = I4mm (107)
DOS(E_F) = 13.94 states/eV/cell
ρ = 7.9 Mg/m³

Cell and atoms, written as CIF:
```
data_Tb4Ho5Al
_space_group_name_H-M_alt 'P 1'
_space_group_IT_number 1
_cell_length_a 5.649
_cell_length_b 7.971
_cell_length_c 7.971
_cell_angle_alpha 82.79
_cell_angle_beta 69.25
_cell_angle_gamma 69.25
loop_
_space_group_symop_operation_xyz
'x,y,z'
loop_
_atom_site_label
_atom_site_type_symbol
_atom_site_fract_x
_atom_site_fract_y
_atom_site_fract_z
_atom_site_occupancy
Tb1 Tb 0.456 0.686 0.314 1
Tb2 Tb 0.770 0.686 0.686 1
Tb3 Tb 0.456 0.314 0.686 1
Ho1 Ho 0.146 0.635 0.000 1
Ho2 Ho 0.781 0.000 0.365 1
Ho3 Ho 0.781 0.365 0.000 1
Ho4 Ho 0.657 0.000 0.000 1
Al1 Al 0.174 0.000 0.000 1
Tb4 Tb 0.142 0.314 0.314 1
Ho5 Ho 0.146 0.000 0.635 1
```



Most stable of them? version w.



Version w
Compound: TbHo2Al2
Source: Alexandria via LeMat-Bulk
Functional: PBE-GGA
Structure: relaxed

SG = P2_1/m (11)
DOS(E_F) = 10.37 states/eV/cell
ρ = 6.8 Mg/m³

Cell and atoms, written as CIF:
```
data_TbHo2Al2
_space_group_name_H-M_alt 'P 1'
_space_group_IT_number 1
_cell_length_a 3.606
_cell_length_b 5.581
_cell_length_c 13.333
_cell_angle_alpha 96.17
_cell_angle_beta 90.00
_cell_angle_gamma 90.00
loop_
_space_group_symop_operation_xyz
'x,y,z'
loop_
_atom_site_label
_atom_site_type_symbol
_atom_site_fract_x
_atom_site_fract_y
_atom_site_fract_z
_atom_site_occupancy
Tb1 Tb 0.250 0.683 0.235 1
Al1 Al 0.750 0.650 0.043 1
Tb2 Tb 0.750 0.317 0.765 1
Ho1 Ho 0.250 0.847 0.888 1
Ho2 Ho 0.750 0.153 0.112 1
Ho3 Ho 0.250 0.259 0.538 1
Al2 Al 0.750 0.207 0.341 1
Ho4 Ho 0.750 0.741 0.462 1
Al3 Al 0.250 0.793 0.659 1
Al4 Al 0.250 0.350 0.957 1
```



Version x
Compound: TbHo2Al2
Source: Alexandria via LeMat-Bulk
Functional: PBE-GGA
Structure: relaxed

SG = P2_1/m (11)
DOS(E_F) = 6.51 states/eV/cell
ρ = 7.2 Mg/m³

Cell and atoms, written as CIF:
```
data_TbHo2Al2
_space_group_name_H-M_alt 'P 1'
_space_group_IT_number 1
_cell_length_a 3.627
_cell_length_b 5.141
_cell_length_c 13.484
_cell_angle_alpha 90.00
_cell_angle_beta 97.74
_cell_angle_gamma 90.00
loop_
_space_group_symop_operation_xyz
'x,y,z'
loop_
_atom_site_label
_atom_site_type_symbol
_atom_site_fract_x
_atom_site_fract_y
_atom_site_fract_z
_atom_site_occupancy
Ho1 Ho 0.233 0.750 0.467 1
Al1 Al 0.549 0.250 0.098 1
Tb1 Tb 0.144 0.250 0.291 1
Ho2 Ho 0.953 0.250 0.906 1
Ho3 Ho 0.047 0.750 0.094 1
Al2 Al 0.640 0.750 0.281 1
Ho4 Ho 0.767 0.250 0.533 1
Tb2 Tb 0.856 0.750 0.709 1
Al3 Al 0.451 0.750 0.902 1
Al4 Al 0.360 0.250 0.719 1
```



Most stable of them? version x.



Version w
Compound: TbHoAl6
Source: Alexandria via LeMat-Bulk
Functional: PBE-GGA
Structure: relaxed

SG = Amm2 (38)
DOS(E_F) = 3.40 states/eV/cell
ρ = 5.1 Mg/m³

Cell and atoms, written as CIF:
```
data_TbHoAl6
_space_group_name_H-M_alt 'P 1'
_space_group_IT_number 1
_cell_length_a 4.666
_cell_length_b 6.233
_cell_length_c 6.233
_cell_angle_alpha 119.92
_cell_angle_beta 90.00
_cell_angle_gamma 90.00
loop_
_space_group_symop_operation_xyz
'x,y,z'
loop_
_atom_site_label
_atom_site_type_symbol
_atom_site_fract_x
_atom_site_fract_y
_atom_site_fract_z
_atom_site_occupancy
Tb1 Tb 0.500 0.416 0.584 1
Ho1 Ho 0.000 0.084 0.916 1
Al1 Al 0.000 0.603 0.956 1
Al2 Al 0.500 0.897 0.545 1
Al3 Al 0.000 0.603 0.397 1
Al4 Al 0.000 0.044 0.397 1
Al5 Al 0.500 0.455 0.103 1
Al6 Al 0.500 0.898 0.102 1
```



Version x
Compound: TbHoAl6
Source: Alexandria via LeMat-Bulk
Functional: PBE-GGA
Structure: relaxed

SG = Pm-3 (200)
DOS(E_F) = 5.25 states/eV/cell
ρ = 4.8 Mg/m³

Cell and atoms, written as CIF:
```
data_TbHoAl6
_space_group_name_H-M_alt 'P 1'
_space_group_IT_number 1
_cell_length_a 5.505
_cell_length_b 5.505
_cell_length_c 5.505
_cell_angle_alpha 90.00
_cell_angle_beta 90.00
_cell_angle_gamma 90.00
loop_
_space_group_symop_operation_xyz
'x,y,z'
loop_
_atom_site_label
_atom_site_type_symbol
_atom_site_fract_x
_atom_site_fract_y
_atom_site_fract_z
_atom_site_occupancy
Al1 Al 0.500 0.250 0.000 1
Al2 Al 0.000 0.500 0.750 1
Ho1 Ho 0.500 0.500 0.500 1
Al3 Al 0.500 0.750 0.000 1
Al4 Al 0.000 0.500 0.250 1
Tb1 Tb 0.000 0.000 0.000 1
Al5 Al 0.750 0.000 0.500 1
Al6 Al 0.250 0.000 0.500 1
```



Most stable of them? version w.



Version w
Compound: Tb2HoAl6
Source: Alexandria via LeMat-Bulk
Functional: PBE-GGA
Structure: relaxed

SG = P6/mmm (191)
DOS(E_F) = 1.90 states/eV/cell
ρ = 5.7 Mg/m³

Cell and atoms, written as CIF:
```
data_Tb2HoAl6
_space_group_name_H-M_alt 'P 1'
_space_group_IT_number 1
_cell_length_a 3.486
_cell_length_b 7.910
_cell_length_c 7.910
_cell_angle_alpha 120.00
_cell_angle_beta 90.00
_cell_angle_gamma 90.00
loop_
_space_group_symop_operation_xyz
'x,y,z'
loop_
_atom_site_label
_atom_site_type_symbol
_atom_site_fract_x
_atom_site_fract_y
_atom_site_fract_z
_atom_site_occupancy
Ho1 Ho 0.000 0.000 0.000 1
Tb1 Tb 0.000 0.333 0.667 1
Al1 Al 0.500 0.000 0.333 1
Al2 Al 0.500 0.333 0.000 1
Al3 Al 0.500 0.000 0.667 1
Al4 Al 0.500 0.333 0.333 1
Tb2 Tb 0.000 0.667 0.333 1
Al5 Al 0.500 0.667 0.000 1
Al6 Al 0.500 0.667 0.667 1
```



Version x
Compound: Tb2HoAl6
Source: Alexandria via LeMat-Bulk
Functional: PBE-GGA
Structure: relaxed

SG = Immm (71)
DOS(E_F) = 5.42 states/eV/cell
ρ = 5.1 Mg/m³

Cell and atoms, written as CIF:
```
data_Tb2HoAl6
_space_group_name_H-M_alt 'P 1'
_space_group_IT_number 1
_cell_length_a 4.386
_cell_length_b 7.972
_cell_length_c 7.972
_cell_angle_alpha 52.84
_cell_angle_beta 74.03
_cell_angle_gamma 74.03
loop_
_space_group_symop_operation_xyz
'x,y,z'
loop_
_atom_site_label
_atom_site_type_symbol
_atom_site_fract_x
_atom_site_fract_y
_atom_site_fract_z
_atom_site_occupancy
Tb1 Tb 0.624 0.876 0.876 1
Al1 Al 0.815 0.878 0.492 1
Ho1 Ho 0.500 0.500 0.500 1
Tb2 Tb 0.376 0.124 0.124 1
Al2 Al 0.185 0.508 0.122 1
Al3 Al 0.185 0.122 0.508 1
Al4 Al 0.000 0.810 0.190 1
Al5 Al 0.815 0.492 0.878 1
Al6 Al 0.000 0.190 0.810 1
```



Most stable of them? version w.



Version w
Compound: TbHo2Al6
Source: Alexandria via LeMat-Bulk
Functional: PBE-GGA
Structure: relaxed

SG = P6/mmm (191)
DOS(E_F) = 1.81 states/eV/cell
ρ = 5.8 Mg/m³

Cell and atoms, written as CIF:
```
data_TbHo2Al6
_space_group_name_H-M_alt 'P 1'
_space_group_IT_number 1
_cell_length_a 3.467
_cell_length_b 7.903
_cell_length_c 7.903
_cell_angle_alpha 120.00
_cell_angle_beta 90.00
_cell_angle_gamma 90.00
loop_
_space_group_symop_operation_xyz
'x,y,z'
loop_
_atom_site_label
_atom_site_type_symbol
_atom_site_fract_x
_atom_site_fract_y
_atom_site_fract_z
_atom_site_occupancy
Ho1 Ho 0.000 0.333 0.667 1
Al1 Al 0.500 0.334 0.000 1
Al2 Al 0.500 0.000 0.666 1
Al3 Al 0.500 0.334 0.334 1
Ho2 Ho 0.000 0.667 0.333 1
Al4 Al 0.500 0.000 0.334 1
Tb1 Tb 0.000 0.000 0.000 1
Al5 Al 0.500 0.666 0.000 1
Al6 Al 0.500 0.666 0.666 1
```



Version x
Compound: TbHo2Al6
Source: Alexandria via LeMat-Bulk
Functional: PBE-GGA
Structure: relaxed

SG = Immm (71)
DOS(E_F) = 5.06 states/eV/cell
ρ = 5.2 Mg/m³

Cell and atoms, written as CIF:
```
data_TbHo2Al6
_space_group_name_H-M_alt 'P 1'
_space_group_IT_number 1
_cell_length_a 4.374
_cell_length_b 7.940
_cell_length_c 7.940
_cell_angle_alpha 53.06
_cell_angle_beta 74.01
_cell_angle_gamma 74.01
loop_
_space_group_symop_operation_xyz
'x,y,z'
loop_
_atom_site_label
_atom_site_type_symbol
_atom_site_fract_x
_atom_site_fract_y
_atom_site_fract_z
_atom_site_occupancy
Al1 Al 0.814 0.491 0.880 1
Al2 Al 0.186 0.120 0.509 1
Ho1 Ho 0.377 0.123 0.123 1
Tb1 Tb 0.500 0.500 0.500 1
Al3 Al 0.186 0.509 0.120 1
Al4 Al 0.814 0.880 0.491 1
Ho2 Ho 0.623 0.877 0.877 1
Al5 Al 0.000 0.812 0.188 1
Al6 Al 0.000 0.188 0.812 1
```



Most stable of them? version w.



Version w
Compound: TbHo8Al2
Source: Alexandria via LeMat-Bulk
Functional: PBE-GGA
Structure: relaxed

SG = C2/m (12)
DOS(E_F) = 12.63 states/eV/cell
ρ = 8.1 Mg/m³

Cell and atoms, written as CIF:
```
data_TbHo8Al2
_space_group_name_H-M_alt 'P 1'
_space_group_IT_number 1
_cell_length_a 5.156
_cell_length_b 8.160
_cell_length_c 8.556
_cell_angle_alpha 112.88
_cell_angle_beta 107.54
_cell_angle_gamma 90.00
loop_
_space_group_symop_operation_xyz
'x,y,z'
loop_
_atom_site_label
_atom_site_type_symbol
_atom_site_fract_x
_atom_site_fract_y
_atom_site_fract_z
_atom_site_occupancy
Ho1 Ho 0.056 0.734 0.112 1
Al1 Al 0.776 0.358 0.551 1
Ho2 Ho 0.944 0.266 0.888 1
Al2 Al 0.224 0.642 0.449 1
Ho3 Ho 0.390 0.528 0.780 1
Ho4 Ho 0.312 0.048 0.624 1
Ho5 Ho 0.610 0.472 0.220 1
Tb1 Tb 0.500 0.000 0.000 1
Ho6 Ho 0.847 0.779 0.693 1
Ho7 Ho 0.153 0.221 0.307 1
Ho8 Ho 0.688 0.952 0.376 1
```



Version x
Compound: TbHo8Al2
Source: Alexandria via LeMat-Bulk
Functional: PBE-GGA
Structure: relaxed

SG = C2/m (12)
DOS(E_F) = 15.06 states/eV/cell
ρ = 7.8 Mg/m³

Cell and atoms, written as CIF:
```
data_TbHo8Al2
_space_group_name_H-M_alt 'P 1'
_space_group_IT_number 1
_cell_length_a 5.542
_cell_length_b 8.494
_cell_length_c 8.494
_cell_angle_alpha 118.02
_cell_angle_beta 101.58
_cell_angle_gamma 101.58
loop_
_space_group_symop_operation_xyz
'x,y,z'
loop_
_atom_site_label
_atom_site_type_symbol
_atom_site_fract_x
_atom_site_fract_y
_atom_site_fract_z
_atom_site_occupancy
Ho1 Ho 0.887 0.912 0.674 1
Al1 Al 0.000 0.308 0.692 1
Ho2 Ho 0.296 0.596 0.596 1
Ho3 Ho 0.500 0.776 0.224 1
Al2 Al 0.000 0.692 0.308 1
Tb1 Tb 0.500 0.000 0.000 1
Ho4 Ho 0.113 0.088 0.326 1
Ho5 Ho 0.704 0.404 0.404 1
Ho6 Ho 0.887 0.674 0.912 1
Ho7 Ho 0.500 0.224 0.776 1
Ho8 Ho 0.113 0.326 0.088 1
```



Most stable of them? version w.